LaMnBi3, relaxed, DFT PBE; uncorrected energy = -5.005 eV per atom; energy of formation from the pure elements = 0.1429 eV/atom; space group = Pm-3m (221)
1.0
5.252 0.000 0.000
0.000 5.252 0.000
0.000 0.000 5.252
Mn Bi La
1 3 1
Direct
0.000 0.000 0.000 Mn
0.000 0.500 0.000 Bi
0.000 0.000 0.500 Bi
0.500 0.000 0.000 Bi
0.500 0.500 0.500 La